No. 1
Na3TbCl6: optimized geometry, PBE-GGA.

Computed properties:
Total DFT energy (no corrections), eV for the cell shown: -153.05
Crystal system: cubic

abc: 10.6470 10.6470 10.6470
angles: 90.00 90.00 90.00
Closest atoms and distances in Å follow each position.
Space group Fm-3m (No. 225)
Asymmetric unit:
Na (0.0000, 0.0000, 0.0000) (multiplicity 4)  6 Cl 2.70
Na (0.2500, 0.2500, 0.2500) (multiplicity 8)  12 Cl 3.76
Tb (0.0000, 0.0000, 0.5000) (multiplicity 4)  6 Cl 2.63
Cl (0.0000, 0.0000, 0.2531) (multiplicity 24)  1 Tb 2.63, 1 Na 2.70

No. 2
Na3TbCl6: optimized geometry, PBE-GGA.

Computed properties:
Total DFT energy (no corrections), eV for the cell shown: -79.27
Crystal system: monoclinic

abc: 6.9523 7.3371 12.3271
angles: 90.00 123.27 90.00
Closest atoms and distances in Å follow each position.
Space group P2_1/c (No. 14)
Asymmetric unit:
Na (0.0000, 0.0000, 0.0000) (multiplicity 2)  6 Cl 2.74-2.95
Na (0.2091, 0.0732, 0.7329) (multiplicity 4)  5 Cl 2.82-3.11
Tb (0.5000, 0.0000, 0.5000) (multiplicity 2)  6 Cl 2.65-2.67
Cl (0.1242, 0.1816, 0.4386) (multiplicity 4)  1 Tb 2.65, 2 Na 2.74-2.82
Cl (0.2419, 0.6987, 0.4141) (multiplicity 4)  1 Tb 2.67, 2 Na 2.83-2.91
Cl (0.4048, 0.0722, 0.2627) (multiplicity 4)  1 Tb 2.67, 3 Na 2.86-2.95

No. 3
NaTb2Cl6: optimized geometry, PBE-GGA.

Computed properties:
Total DFT energy (no corrections), eV for the cell shown: -39.97
Crystal system: trigonal

abc: 6.7572 6.7572 6.5365
angles: 90.00 90.00 120.00
Closest atoms and distances in Å follow each position.
Space group P-31m (No. 162)
Asymmetric unit:
Na (0.0000, 0.0000, 0.0000) (multiplicity 1)  6 Cl 2.88
Tb (0.3333, 0.6667, 0.5000) (multiplicity 2)  6 Cl 2.71
Cl (0.0000, 0.3434, 0.7378) (multiplicity 6)  2 Tb 2.71, 1 Na 2.88

No. 4
Na2TbCl6: optimized geometry, PBE-GGA.

Computed properties:
Total DFT energy (no corrections), eV for the cell shown: -66.90
Crystal system: orthorhombic

abc: 4.2962 13.4524 7.3367
angles: 90.00 90.00 90.00
Closest atoms and distances in Å follow each position.
Space group Amm2 (No. 38)
Asymmetric unit:
Na (0.0000, 0.1755, 0.0000) (multiplicity 4)  5 Cl 2.86-3.07
Tb (0.5000, 0.0000, 0.5277) (multiplicity 2)  9 Cl 2.76-2.89
Cl (0.0000, 0.0000, 0.7799) (multiplicity 2)  2 Tb 2.84, 2 Na 2.86
Cl (0.0000, 0.1211, 0.3859) (multiplicity 4)  2 Na 2.86-2.92, 2 Tb 2.89, 2 Cl 3.20
Cl (0.5000, 0.0000, 0.1518) (multiplicity 2)  1 Tb 2.76
Cl (0.5000, 0.1861, 0.7013) (multiplicity 4)  1 Tb 2.81, 2 Na 3.07

No. 5
Na2Tb2Cl7: optimized geometry, PBE-GGA.

Computed properties:
Total DFT energy (no corrections), eV for the cell shown: -92.21
Energy above the most stable polymorph in this dataset, meV/atom: 0
Crystal system: monoclinic

abc: 8.2356 12.2683 7.3203
angles: 90.00 98.24 90.00
Closest atoms and distances in Å follow each position.
Space group C2/m (No. 12)
Asymmetric unit:
Na (0.0000, 0.1970, 0.0000) (multiplicity 4)  6 Cl 2.82-3.03
Tb (0.2044, 0.0000, 0.6076) (multiplicity 4)  5 Cl 2.59-2.78
Cl (0.0000, 0.5000, 0.5000) (multiplicity 2)  2 Tb 2.66
Cl (0.0884, 0.0000, 0.2438) (multiplicity 4)  2 Tb 2.70-2.78
Cl (0.2466, 0.3149, 0.2235) (multiplicity 8)  1 Tb 2.59, 2 Na 2.82-2.83

No. 6
Na2TbTlCl6: optimized geometry, PBE-GGA.

Computed properties:
Total DFT energy (no corrections), eV for the cell shown: -117.69
Crystal system: trigonal

abc: 7.2406 7.2406 19.7635
angles: 90.00 90.00 120.00
Closest atoms and distances in Å follow each position.
Space group R3 (No. 146, hexagonal axes)
Asymmetric unit:
Na (0.0000, 0.0000, 0.0000) (multiplicity 3)  6 Cl 2.79-2.94
Na (0.0000, 0.0000, 0.4856) (multiplicity 3)  6 Cl 2.86-2.97
Tb (0.0000, 0.0000, 0.6821) (multiplicity 3)  6 Cl 2.67-2.68
Tl (0.0000, 0.0000, 0.2016) (multiplicity 3)  6 Cl 3.11-3.37
Cl (0.0077, 0.3222, 0.7501) (multiplicity 9)  1 Tb 2.67, 2 Na 2.86-2.94
Cl (0.0290, 0.6168, 0.2609) (multiplicity 9)  1 Tb 2.68, 2 Na 2.79-2.97

No. 7
NaTbVCl6: optimized geometry, PBE-GGA.

Computed properties:
Total DFT energy (no corrections), eV for the cell shown: -84.66
Crystal system: trigonal

abc: 6.5734 6.5734 12.7217
angles: 90.00 90.00 120.00
Closest atoms and distances in Å follow each position.
Space group P-31c (No. 163)
Asymmetric unit:
Na (0.0000, 0.0000, 0.0000) (multiplicity 2)  6 Cl 2.89
Tb (0.3333, 0.6667, 0.2500) (multiplicity 2)  6 Cl 2.67
V (0.3333, 0.6667, 0.7500) (multiplicity 2)  6 Cl 2.50
Cl (0.0202, 0.3642, 0.6349) (multiplicity 12)  1 V 2.50, 1 Tb 2.67

No. 8
NaTc3Cl: optimized geometry, PBE-GGA.

Computed properties:
Total DFT energy (no corrections), eV for the cell shown: -28.27
Energy above the most stable polymorph in this dataset, meV/atom: 0
Crystal system: cubic

abc: 4.4234 4.4234 4.4234
angles: 90.00 90.00 90.00
Closest atoms and distances in Å follow each position.
Space group Pm-3m (No. 221)
Asymmetric unit:
Na (0.0000, 0.0000, 0.0000) (multiplicity 1)  12 Tc 3.13
Tc (0.0000, 0.5000, 0.5000) (multiplicity 3)  2 Cl 2.21
Cl (0.5000, 0.5000, 0.5000) (multiplicity 1)  6 Tc 2.21